Entry 1:
First-principles (GGA-PBE) data for an optimized crystal structure of LaTm5Sc3, as listed in the Alexandria database.

Output
**Total magnetic moment**: 0.000 μB per cell
**Formation energy from the elements**: 0.572 eV per atom
**Density of states at the Fermi level**: 1.44 states/eV/atom
**DFT total energy**: -4.5700 eV/atom

a = 8.627 Å, b = 8.627 Å, c = 10.331 Å
α = 117.21°, β = 117.21°, γ = 75.87°
Fractional positions:
La  0.235  0.235  0.328
La  0.765  0.765  0.672
Tm  0.150  0.150  0.593
Tm  0.166  0.636  0.262
Tm  0.281  0.719  0.000
Tm  0.304  0.304  0.985
Tm  0.364  0.834  0.738
Tm  0.636  0.166  0.262
Tm  0.696  0.696  0.015
Tm  0.719  0.281  0.000
Tm  0.834  0.364  0.738
Tm  0.850  0.850  0.407
Sc  0.000  0.000  0.000
Sc  0.030  0.030  0.767
Sc  0.428  0.428  0.742
Sc  0.500  0.500  0.500
Sc  0.572  0.572  0.258
Sc  0.970  0.970  0.233


Entry 2:
First-principles (GGA-PBE) data for an optimized crystal structure of La4Y2TmSc, as listed in the Alexandria database.

Output
**Total magnetic moment**: 0.000 μB per cell
**Formation energy from the elements**: 0.031 eV per atom
**Density of states at the Fermi level**: 1.37 states/eV/atom
**DFT total energy**: -5.3995 eV/atom

a = 5.226 Å, b = 5.226 Å, c = 9.730 Å
α = 90.00°, β = 90.00°, γ = 90.00°
Fractional positions:
La  0.000  0.500  0.246
La  0.000  0.500  0.754
La  0.500  0.000  0.246
La  0.500  0.000  0.754
Y  0.000  0.000  0.000
Y  0.500  0.500  0.500
Tm  0.000  0.000  0.500
Sc  0.500  0.500  0.000


Entry 3:
First-principles (GGA-PBE) data for an optimized crystal structure of LaY4Tm2Sc, as listed in the Alexandria database.

Output
**Total magnetic moment**: 4.000 μB per cell
**Formation energy from the elements**: 0.431 eV per atom
**Density of states at the Fermi level**: 2.23 states/eV/atom
**DFT total energy**: -5.3258 eV/atom

a = 9.391 Å, b = 9.391 Å, c = 6.758 Å
α = 111.07°, β = 111.07°, γ = 88.29°
Fractional positions:
La  0.000  0.500  0.000
La  0.500  0.000  0.500
Y  0.238  0.242  0.489
Y  0.242  0.238  0.989
Y  0.242  0.758  0.503
Y  0.242  0.758  0.997
Y  0.758  0.242  0.003
Y  0.758  0.242  0.497
Y  0.758  0.762  0.011
Y  0.762  0.758  0.511
Tm  0.000  0.500  0.500
Tm  0.500  0.000  0.000
Tm  0.500  0.500  0.000
Tm  0.500  0.500  0.500
Sc  0.000  0.000  0.000
Sc  0.000  0.000  0.500


Entry 4:
First-principles (GGA-PBE) data for an optimized crystal structure of La2YTm5Sc, as listed in the Alexandria database.

Output
**Total magnetic moment**: 0.000 μB per cell
**Formation energy from the elements**: 0.160 eV per atom
**Density of states at the Fermi level**: 1.26 states/eV/atom
**DFT total energy**: -4.8405 eV/atom

a = 10.268 Å, b = 10.268 Å, c = 10.417 Å
α = 90.00°, β = 90.00°, γ = 148.61°
Fractional positions:
La  0.114  0.886  0.500
La  0.116  0.884  0.920
La  0.884  0.116  0.420
La  0.886  0.114  0.000
Y  0.410  0.590  0.649
Y  0.590  0.410  0.149
Tm  0.015  0.985  0.206
Tm  0.277  0.723  0.504
Tm  0.298  0.702  0.889
Tm  0.378  0.622  0.206
Tm  0.483  0.517  0.927
Tm  0.517  0.483  0.427
Tm  0.622  0.378  0.706
Tm  0.702  0.298  0.389
Tm  0.723  0.277  0.004
Tm  0.985  0.015  0.706
Sc  0.199  0.801  0.200
Sc  0.801  0.199  0.700


Entry 5:
First-principles (GGA-PBE) data for an optimized crystal structure of La2Y5TmSc, as listed in the Alexandria database.

Output
**Total magnetic moment**: 0.003 μB per cell
**Formation energy from the elements**: 0.147 eV per atom
**Density of states at the Fermi level**: 1.35 states/eV/atom
**DFT total energy**: -5.7393 eV/atom

a = 10.518 Å, b = 10.518 Å, c = 10.402 Å
α = 90.00°, β = 90.00°, γ = 149.20°
Fractional positions:
La  0.113  0.887  0.500
La  0.116  0.884  0.922
La  0.884  0.116  0.422
La  0.887  0.113  0.000
Y  0.015  0.985  0.201
Y  0.271  0.729  0.514
Y  0.297  0.703  0.884
Y  0.368  0.632  0.206
Y  0.484  0.516  0.927
Y  0.516  0.484  0.427
Y  0.632  0.368  0.706
Y  0.703  0.297  0.384
Y  0.729  0.271  0.014
Y  0.985  0.015  0.701
Tm  0.406  0.594  0.645
Tm  0.594  0.406  0.145
Sc  0.193  0.807  0.202
Sc  0.807  0.193  0.702


Entry 6:
First-principles (GGA-PBE) data for an optimized crystal structure of La2YTm4Sc, as listed in the Alexandria database.

Output
**Total magnetic moment**: 1.827 μB per cell
**Formation energy from the elements**: 0.417 eV per atom
**Density of states at the Fermi level**: 2.29 states/eV/atom
**DFT total energy**: -4.6502 eV/atom

a = 9.406 Å, b = 9.406 Å, c = 6.733 Å
α = 110.96°, β = 110.96°, γ = 87.90°
Fractional positions:
La  0.000  0.000  0.000
La  0.000  0.000  0.500
La  0.000  0.500  0.000
La  0.500  0.000  0.500
Y  0.000  0.500  0.500
Y  0.500  0.000  0.000
Tm  0.264  0.736  0.000
Tm  0.264  0.736  0.500
Tm  0.269  0.269  0.020
Tm  0.269  0.269  0.520
Tm  0.731  0.731  0.480
Tm  0.731  0.731  0.980
Tm  0.736  0.264  0.000
Tm  0.736  0.264  0.500
Sc  0.500  0.500  0.000
Sc  0.500  0.500  0.500